1) ## Zn2SiCl (PBE)

Data for Zn2SiCl after structural relaxation.

It has space group R3m (No. 160, hexagonal axes), with a = 3.1180 Å, b = 3.1180 Å, c = 28.7190 Å, α = 90.00°, β = 90.00° and γ = 120.00°. The distinct sites, in fractional coordinates, are Zn at (0.0000, 0.0000, 0.0000), Zn at (0.0000, 0.0000, 0.2625), Si at (0.0000, 0.0000, 0.5218) and Cl at (0.0000, 0.0000, 0.7228).

Its calculated density is 4.00 g/cm³.

***

2) ## Zn2SiCl (PBE)

Data for Zn2SiCl after structural relaxation.

It has space group Cmm2 (No. 35), with a = 3.278 Å, b = 5.193 Å, c = 9.519 Å, α = 90.00°, β = 90.00° and γ = 90.00°. The distinct sites, in fractional coordinates, are Zn at (0.000, 0.000, 0.000), Zn at (0.000, 0.500, 0.217), Si at (0.000, 0.000, 0.435) and Cl at (0.000, 0.500, 0.824).

Its calculated density is 3.98 g/cm³.

***

3) ## Zn2SiCl (PBE)

Data for Zn2SiCl after structural relaxation.

It has space group Pmmm (No. 47), with a = 2.881 Å, b = 4.656 Å, c = 5.446 Å, α = 90.00°, β = 90.00° and γ = 90.00°. The distinct sites, in fractional coordinates, are Zn at (0.000, 0.000, 0.000), Zn at (0.500, 0.500, 0.000), Si at (0.000, 0.500, 0.500) and Cl at (0.500, 0.000, 0.500).

Its calculated density is 4.42 g/cm³.

***

Ranking the structures above by stability puts 1) first and 3) last.